# 1
Crystalline TbNbFe2 at its relaxed geometry, computed with PBE-GGA.

CIF file:
```
data_TbNbFe2
_chemical_formula_sum 'Tb1 Nb1 Fe2'
_symmetry_space_group_name_H-M 'P 4/m m m'
_symmetry_Int_Tables_number 123
_symmetry_space_group_name_Hall '-P 4 2'
_cell_length_a 3.1290
_cell_length_b 3.1290
_cell_length_c 6.6728
_cell_angle_alpha 90.00
_cell_angle_beta 90.00
_cell_angle_gamma 90.00
loop_
_atom_site_label
_atom_site_type_symbol
_atom_site_fract_x
_atom_site_fract_y
_atom_site_fract_z
Tb1 Tb 0.0000 0.0000 0.0000
Nb1 Nb 0.0000 0.0000 0.5000
Fe1 Fe 0.5000 0.5000 0.2894
```

Output
final energy = -7.850 eV/atom
energy relative to the elements = 0.056 eV per atom
V = 65.3 Å³/cell

=====

# 2
Crystalline TbNbFe10 at its relaxed geometry, computed with PBE-GGA.

CIF file:
```
data_TbNbFe10
_chemical_formula_sum 'Tb1 Nb1 Fe10'
_symmetry_space_group_name_H-M 'P m m m'
_symmetry_Int_Tables_number 47
_cell_length_a 3.9736
_cell_length_b 4.8527
_cell_length_c 8.3785
_cell_angle_alpha 90.00
_cell_angle_beta 90.00
_cell_angle_gamma 90.00
loop_
_symmetry_equiv_pos_as_xyz
'x,y,z'
'-x,-y,-z'
'-x,-y,z'
'x,y,-z'
'x,-y,-z'
'-x,y,z'
'-x,y,-z'
'x,-y,z'
loop_
_atom_site_label
_atom_site_type_symbol
_atom_site_fract_x
_atom_site_fract_y
_atom_site_fract_z
Tb1 Tb 0.0000 0.0000 0.0000
Nb1 Nb 0.0000 0.5000 0.5000
Fe1 Fe 0.0000 0.0000 0.3436
Fe2 Fe 0.0000 0.5000 0.1813
Fe3 Fe 0.5000 0.0000 0.5000
Fe4 Fe 0.5000 0.2529 0.2583
Fe5 Fe 0.5000 0.5000 0.0000
```

Output
final energy = -8.245 eV/atom
energy relative to the elements = 0.032 eV per atom
V = 161.6 Å³/cell

=====

# 3
Crystalline Tb3NbFe8 at its relaxed geometry, computed with PBE-GGA.

CIF file:
```
data_Tb3NbFe8
_chemical_formula_sum 'Tb9 Nb3 Fe24'
_symmetry_space_group_name_H-M 'R 3 m'
_symmetry_Int_Tables_number 160
_symmetry_space_group_name_Hall 'R 3 -2"'
_cell_length_a 5.0684
_cell_length_b 5.0684
_cell_length_c 24.8676
_cell_angle_alpha 90.00
_cell_angle_beta 90.00
_cell_angle_gamma 120.00
loop_
_atom_site_label
_atom_site_type_symbol
_atom_site_fract_x
_atom_site_fract_y
_atom_site_fract_z
Tb1 Tb 0.0000 0.0000 0.0000
Tb2 Tb 0.0000 0.0000 0.1257
Tb3 Tb 0.0000 0.0000 0.6239
Nb1 Nb 0.0000 0.0000 0.5000
Fe1 Fe 0.0000 0.0000 0.3126
Fe2 Fe 0.0000 0.0000 0.8130
Fe3 Fe 0.0036 0.5018 0.0655
Fe4 Fe 0.1675 0.3349 0.8932
```

Output
final energy = -7.695 eV/atom
energy relative to the elements = -0.057 eV per atom
V = 553.2 Å³/cell

=====

# 4
Crystalline TbNbFe4 at its relaxed geometry, computed with PBE-GGA.

CIF file:
```
data_TbNbFe4
_chemical_formula_sum 'Tb2 Nb2 Fe8'
_symmetry_space_group_name_H-M 'P -3 m 1'
_symmetry_Int_Tables_number 164
_symmetry_space_group_name_Hall '-P 3 2"'
_cell_length_a 4.9793
_cell_length_b 4.9793
_cell_length_c 8.1994
_cell_angle_alpha 90.00
_cell_angle_beta 90.00
_cell_angle_gamma 120.00
loop_
_atom_site_label
_atom_site_type_symbol
_atom_site_fract_x
_atom_site_fract_y
_atom_site_fract_z
Tb1 Tb 0.3333 0.6667 0.0678
Nb1 Nb 0.3333 0.6667 0.4451
Fe1 Fe 0.0000 0.0000 0.0000
Fe2 Fe 0.0000 0.0000 0.5000
Fe3 Fe 0.1676 0.3351 0.7342
```

Output
final energy = -8.155 eV/atom
energy relative to the elements = -0.063 eV per atom
V = 176.1 Å³/cell

=====

# 5
Crystalline TbNb2Fe at its relaxed geometry, computed with PBE-GGA.

CIF file:
```
data_TbNb2Fe
_chemical_formula_sum 'Tb3 Nb6 Fe3'
_symmetry_space_group_name_H-M 'R -3 m'
_symmetry_Int_Tables_number 166
_symmetry_space_group_name_Hall '-R 3 2"'
_cell_length_a 3.0005
_cell_length_b 3.0005
_cell_length_c 30.1385
_cell_angle_alpha 90.00
_cell_angle_beta 90.00
_cell_angle_gamma 120.00
loop_
_atom_site_label
_atom_site_type_symbol
_atom_site_fract_x
_atom_site_fract_y
_atom_site_fract_z
Tb1 Tb 0.0000 0.0000 0.0000
Nb1 Nb 0.0000 0.0000 0.1009
Fe1 Fe 0.0000 0.0000 0.5000
```

Output
final energy = -7.742 eV/atom
energy relative to the elements = 0.566 eV per atom
V = 235.0 Å³/cell

=====

# 6
Crystalline TbNb3Fe8 at its relaxed geometry, computed with PBE-GGA.

CIF file:
```
data_TbNb3Fe8
_chemical_formula_sum 'Tb1 Nb3 Fe8'
_symmetry_space_group_name_H-M 'P 3 m 1'
_symmetry_Int_Tables_number 156
_cell_length_a 4.9089
_cell_length_b 4.9089
_cell_length_c 8.0396
_cell_angle_alpha 90.00
_cell_angle_beta 90.00
_cell_angle_gamma 120.00
loop_
_symmetry_equiv_pos_as_xyz
'x,y,z'
'-y,x-y,z'
'-x+y,-x,z'
'-y,-x,z'
'-x+y,y,z'
'x,x-y,z'
loop_
_atom_site_label
_atom_site_type_symbol
_atom_site_fract_x
_atom_site_fract_y
_atom_site_fract_z
Tb1 Tb 0.0000 0.0000 0.0000
Nb1 Nb 0.0000 0.0000 0.3855
Nb2 Nb 0.6667 0.3333 0.4953
Nb3 Nb 0.6667 0.3333 0.8605
Fe1 Fe 0.1661 0.3322 0.6805
Fe2 Fe 0.3333 0.6667 0.4373
Fe3 Fe 0.3333 0.6667 0.9346
Fe4 Fe 0.5018 0.0036 0.1935
```

Output
final energy = -8.613 eV/atom
energy relative to the elements = -0.068 eV per atom
V = 167.8 Å³/cell

=====

# 7
Crystalline Nb2FeTc at its relaxed geometry, computed with PBE-GGA.

CIF file:
```
data_Nb2FeTc
_chemical_formula_sum 'Nb4 Fe2 Tc2'
_symmetry_space_group_name_H-M 'I m m m'
_symmetry_Int_Tables_number 71
_symmetry_space_group_name_Hall '-I 2 2'
_cell_length_a 2.9477
_cell_length_b 4.5353
_cell_length_c 10.0178
_cell_angle_alpha 90.00
_cell_angle_beta 90.00
_cell_angle_gamma 90.00
loop_
_atom_site_label
_atom_site_type_symbol
_atom_site_fract_x
_atom_site_fract_y
_atom_site_fract_z
Nb1 Nb 0.0000 0.0000 0.2451
Fe1 Fe 0.0000 0.0000 0.0000
Tc1 Tc 0.0000 0.0000 0.5000
```

Output
final energy = -9.083 eV/atom
energy relative to the elements = 0.659 eV per atom
V = 133.9 Å³/cell

=====

# 8
Crystalline NbFe2Tc2 at its relaxed geometry, computed with PBE-GGA.

CIF file:
```
data_NbFe2Tc2
_chemical_formula_sum 'Nb2 Fe4 Tc4'
_symmetry_space_group_name_H-M 'P 4/m b m'
_symmetry_Int_Tables_number 127
_symmetry_space_group_name_Hall '-P 4 2ab'
_cell_length_a 7.1671
_cell_length_b 7.1671
_cell_length_c 2.6795
_cell_angle_alpha 90.00
_cell_angle_beta 90.00
_cell_angle_gamma 90.00
loop_
_atom_site_label
_atom_site_type_symbol
_atom_site_fract_x
_atom_site_fract_y
_atom_site_fract_z
Nb1 Nb 0.0000 0.0000 0.0000
Fe1 Fe 0.1213 0.3787 0.0000
Tc1 Tc 0.1715 0.6715 0.5000
```

Output
final energy = -9.493 eV/atom
energy relative to the elements = 0.053 eV per atom
V = 137.6 Å³/cell

=====

# 9
Crystalline Nb5FeTc4 at its relaxed geometry, computed with PBE-GGA.

CIF file:
```
data_Nb5FeTc4
_chemical_formula_sum 'Nb5 Fe1 Tc4'
_symmetry_space_group_name_H-M 'P 4/m m m'
_symmetry_Int_Tables_number 123
_symmetry_space_group_name_Hall '-P 4 2'
_cell_length_a 3.1850
_cell_length_b 3.1850
_cell_length_c 15.7768
_cell_angle_alpha 90.00
_cell_angle_beta 90.00
_cell_angle_gamma 90.00
loop_
_atom_site_label
_atom_site_type_symbol
_atom_site_fract_x
_atom_site_fract_y
_atom_site_fract_z
Nb1 Nb 0.0000 0.0000 0.0000
Nb2 Nb 0.0000 0.0000 0.2030
Nb3 Nb 0.0000 0.0000 0.4044
Fe1 Fe 0.5000 0.5000 0.5000
Tc1 Tc 0.5000 0.5000 0.1014
Tc2 Tc 0.5000 0.5000 0.3044
```

Output
final energy = -10.305 eV/atom
energy relative to the elements = -0.278 eV per atom
V = 160.0 Å³/cell

=====

# 10
Crystalline NbFeTc2 at its relaxed geometry, computed with PBE-GGA.

CIF file:
```
data_NbFeTc2
_chemical_formula_sum 'Nb1 Fe1 Tc2'
_symmetry_space_group_name_H-M 'P 4/m m m'
_symmetry_Int_Tables_number 123
_symmetry_space_group_name_Hall '-P 4 2'
_cell_length_a 3.8648
_cell_length_b 3.8648
_cell_length_c 3.9440
_cell_angle_alpha 90.00
_cell_angle_beta 90.00
_cell_angle_gamma 90.00
loop_
_atom_site_label
_atom_site_type_symbol
_atom_site_fract_x
_atom_site_fract_y
_atom_site_fract_z
Nb1 Nb 0.0000 0.0000 0.0000
Fe1 Fe 0.5000 0.5000 0.0000
Tc1 Tc 0.0000 0.5000 0.5000
```

Output
final energy = -9.765 eV/atom
energy relative to the elements = 0.051 eV per atom
V = 58.9 Å³/cell

=====

# 11
Crystalline NbFeTc at its relaxed geometry, computed with PBE-GGA.

CIF file:
```
data_NbFeTc
_chemical_formula_sum 'Nb2 Fe2 Tc2'
_symmetry_space_group_name_H-M 'I 4 m m'
_symmetry_Int_Tables_number 107
_symmetry_space_group_name_Hall 'I 4 -2'
_cell_length_a 3.1592
_cell_length_b 3.1592
_cell_length_c 9.0531
_cell_angle_alpha 90.00
_cell_angle_beta 90.00
_cell_angle_gamma 90.00
loop_
_atom_site_label
_atom_site_type_symbol
_atom_site_fract_x
_atom_site_fract_y
_atom_site_fract_z
Nb1 Nb 0.0000 0.0000 0.0000
Fe1 Fe 0.0000 0.0000 0.6711
Tc1 Tc 0.0000 0.0000 0.3326
```

Output
final energy = -9.634 eV/atom
energy relative to the elements = -0.001 eV per atom
V = 90.4 Å³/cell

=====

# 12
Crystalline Nb4FeTc3 at its relaxed geometry, computed with PBE-GGA.

CIF file:
```
data_Nb4FeTc3
_chemical_formula_sum 'Nb4 Fe1 Tc3'
_symmetry_space_group_name_H-M 'P 4/m m m'
_symmetry_Int_Tables_number 123
_symmetry_space_group_name_Hall '-P 4 2'
_cell_length_a 3.1805
_cell_length_b 3.1805
_cell_length_c 12.5896
_cell_angle_alpha 90.00
_cell_angle_beta 90.00
_cell_angle_gamma 90.00
loop_
_atom_site_label
_atom_site_type_symbol
_atom_site_fract_x
_atom_site_fract_y
_atom_site_fract_z
Nb1 Nb 0.0000 0.0000 0.1197
Nb2 Nb 0.0000 0.0000 0.3726
Fe1 Fe 0.5000 0.5000 0.0000
Tc1 Tc 0.5000 0.5000 0.2455
Tc2 Tc 0.5000 0.5000 0.5000
```

Output
final energy = -10.240 eV/atom
energy relative to the elements = -0.260 eV per atom
V = 127.3 Å³/cell